Record 1
Density functional theory data (PBE) for a relaxed structure of CrFeCl2.

Cell and atoms, written as POSCAR:
```
CrFeCl2
1.0
5.1923 -0.2030 -0.0086
0.8252 5.1304 0.0086
-1.7586 -3.9904 2.8259
Cr Fe Cl
1 1 2
direct
0.7500 0.2500 0.5000
0.2500 0.7500 0.5000
0.0143 0.0143 0.0000
0.4857 0.4857 0.0000
```

Its symmetry is No. 71. The polymorph energy (0 for the lowest one) is 0.330 eV per atom. As for the total DFT energy (no corrections): -5.27 eV/atom. The theoretical density comes out at 3.9 g cm⁻³.

=====

Record 2
Density functional theory data (PBE) for a relaxed structure of Cr2FeCl.

Cell and atoms, written as POSCAR:
```
Cr2FeCl
1.0
2.9218 0.0000 0.0000
0.0000 2.9207 0.0000
0.0000 0.0000 6.6250
Cr Fe Cl
2 1 1
direct
0.0000 0.0000 0.0431
0.5000 0.5000 0.2558
0.0000 0.0000 0.4702
0.5000 0.5000 0.7309
```

Its symmetry is No. 99. The polymorph energy (0 for the lowest one) is 0.131 eV per atom. As for the total DFT energy (no corrections): -7.03 eV/atom. The theoretical density comes out at 5.7 g cm⁻³.

=====

Record 3
Density functional theory data (PBE) for a relaxed structure of Cr2FeCl.

Cell and atoms, written as POSCAR:
```
Cr2FeCl
1.0
4.3770 0.0000 0.0000
2.1885 3.7906 0.0000
2.1885 1.2635 3.5738
Cr Fe Cl
2 1 1
direct
0.0000 0.0000 0.0000
0.2500 0.2500 0.2500
0.7500 0.7500 0.7500
0.5000 0.5000 0.5000
```

Its symmetry is No. 216. The polymorph energy (0 for the lowest one) is 0.589 eV per atom. As for the total DFT energy (no corrections): -6.58 eV/atom. The theoretical density comes out at 5.5 g cm⁻³.

=====

Record 4
Density functional theory data (PBE) for a relaxed structure of CrFeCl2.

Cell and atoms, written as POSCAR:
```
CrFeCl2
1.0
-1.1686 -8.2316 2.6967
2.8437 -7.2106 4.0394
-1.7107 8.4378 -1.5080
Cr Fe Cl
1 1 2
direct
0.4405 0.4405 0.0000
0.3105 0.8105 0.5000
0.0147 0.0147 0.0000
0.7344 0.2344 0.5000
```

Its symmetry is No. 44. The polymorph energy (0 for the lowest one) is 0.206 eV per atom. As for the total DFT energy (no corrections): -5.40 eV/atom. The theoretical density comes out at 3.7 g cm⁻³.

=====

Record 5
Density functional theory data (PBE) for a relaxed structure of CrFeCl2.

Cell and atoms, written as POSCAR:
```
CrFeCl2
1.0
-3.5750 5.1351 -2.2662
-4.6143 2.4975 -4.0933
-3.4316 -0.3895 2.5143
Cr Fe Cl
1 1 2
direct
0.7500 0.7500 0.7500
0.2500 0.2500 0.2500
0.8824 0.8824 0.0672
0.6176 0.6176 0.4328
```

Its symmetry is No. 12. The polymorph energy (0 for the lowest one) is 0.123 eV per atom. As for the total DFT energy (no corrections): -5.48 eV/atom. The theoretical density comes out at 3.2 g cm⁻³.

=====

Record 6
Density functional theory data (PBE) for a relaxed structure of Cr2FeCl.

Cell and atoms, written as POSCAR:
```
Cr2FeCl
1.0
2.9025 0.0000 0.0000
0.0000 2.9787 -0.0372
0.0000 0.0797 6.7508
Cr Fe Cl
2 1 1
direct
0.0000 0.7491 0.0484
0.5000 0.2495 0.2546
0.0000 0.7501 0.4537
0.5000 0.7513 0.7433
```

Its symmetry is No. 25. The polymorph energy (0 for the lowest one) is 0.000 eV per atom. As for the total DFT energy (no corrections): -7.17 eV/atom. The theoretical density comes out at 5.6 g cm⁻³.

=====

Record 7
Density functional theory data (PBE) for a relaxed structure of CrFe2Cl.

Cell and atoms, written as POSCAR:
```
CrFe2Cl
1.0
8.3908 -0.0163 -0.0096
7.8953 2.8407 -0.0096
7.8953 1.3692 2.4890
Cr Fe Cl
1 2 1
direct
0.7477 0.7477 0.7477
0.0043 0.0043 0.0043
0.2665 0.2665 0.2665
0.4816 0.4816 0.4816
```

Its symmetry is No. 160. The polymorph energy (0 for the lowest one) is 0.157 eV per atom. As for the total DFT energy (no corrections): -6.75 eV/atom. The theoretical density comes out at 5.5 g cm⁻³.

=====

Record 8
Density functional theory data (PBE) for a relaxed structure of CrFe2Cl.

Cell and atoms, written as POSCAR:
```
CrFe2Cl
1.0
-0.3903 -1.6916 2.1437
-1.2271 -0.8187 -2.3309
6.4171 -3.9872 -1.9779
Cr Fe Cl
1 2 1
direct
0.5000 0.5000 0.7500
0.0000 0.0000 0.9916
0.0000 0.0000 0.5084
0.5000 0.5000 0.2500
```

Its symmetry is No. 65. The polymorph energy (0 for the lowest one) is 0.250 eV per atom. As for the total DFT energy (no corrections): -6.66 eV/atom. The theoretical density comes out at 6.1 g cm⁻³.